Below is ZnFeCu4As2 after structural relaxation, with properties calculated at the PBE level.

Unit cell a=4.2375 b=4.2375 c=5.9954 alpha=90.00 beta=90.00 gamma=90.00
Space group P4/mmm (No. 123)
Symmetry-distinct sites (fractional):
Zn1 0.0000 0.0000 0.0000
Fe1 0.5000 0.5000 0.5000
Cu1 0.0000 0.5000 0.2498
As1 0.0000 0.0000 0.5000
As2 0.5000 0.5000 0.0000

For the raw total energy, the calculation gives -3.98 eV per atom. For the total magnetization, the calculation gives 2.60 μB per formula unit. The value obtained for the relative energy among the computed polymorphs is 14 meV/atom.